Entry 1:
A plane-wave DFT calculation with GGA-PBE was carried out for a relaxed structure of CePuReTc.

## Properties
Calculated total energy: -10.611 eV/atom
Formation enthalpy at 0 K: 15 kJ per mole of atoms

abc: 4.732 4.732 4.732
angles: 60.00 60.00 60.00
Last column: magnetic moment on the atom in μB.
Atoms (fractional coordinates):
Ce1 0.500 0.500 0.500  0.58
Pu1 0.250 0.250 0.250  4.91
Tc1 0.750 0.750 0.750  -0.08
Re1 0.000 0.000 0.000  -0.11

=====

Entry 2:
A plane-wave DFT calculation with GGA-PBE was carried out for a relaxed structure of YTcIr4.

## Properties
Calculated total energy: -8.785 eV/atom
Formation enthalpy at 0 K: -7 kJ per mole of atoms

abc: 5.252 5.252 5.252
angles: 60.00 60.00 60.00
Last column: magnetic moment on the atom in μB.
Atoms (fractional coordinates):
Tc1 0.750 0.750 0.750  1.87
Ir1 0.375 0.375 0.375  0.17
Ir2 0.375 0.375 0.874  0.17
Y1 0.000 0.000 0.000  0.05
Ir3 0.874 0.375 0.375  0.17
Ir4 0.375 0.874 0.375  0.17

=====

Entry 3:
A plane-wave DFT calculation with GGA-PBE was carried out for a relaxed structure of Nd5Sm6Pb.

## Properties
Calculated total energy: -4.725 eV/atom
Formation enthalpy at 0 K: -7 kJ per mole of atoms

abc: 5.037 9.623 9.623
angles: 107.05 105.16 105.16
Atoms (fractional coordinates):
Nd1 0.500 0.500 0.500
Sm1 0.742 0.242 0.242
Nd2 0.500 0.169 0.831
Sm2 0.244 0.081 0.409
Nd3 0.000 0.662 0.338
Nd4 0.500 0.831 0.169
Sm3 0.756 0.591 0.919
Sm4 0.244 0.409 0.081
Pb1 0.000 0.000 0.000
Sm5 0.756 0.919 0.591
Sm6 0.258 0.758 0.758
Nd5 0.000 0.338 0.662